Material: LiCaSiAu6
Method: DFT, PBE
State: optimized geometry

abc: 7.094 9.180 7.972
angles: 125.16 116.42 90.00
Sites, in units of the cell vectors:
Si 0.500 0.500 0.000
Si 0.500 0.000 0.000
Au 0.926 0.620 0.256
Au 0.431 0.181 0.862
Au 0.330 0.620 0.256
Au 0.016 0.766 0.033
Au 0.670 0.864 0.744
Au 0.670 0.380 0.744
Au 0.984 0.234 0.967
Au 0.569 0.819 0.138
Au 0.074 0.380 0.744
Au 0.074 0.864 0.744
Au 0.926 0.136 0.256
Au 0.330 0.136 0.256
Li 0.000 0.000 0.500
Li 0.500 0.000 0.500
Ca 0.284 0.534 0.567
Ca 0.716 0.466 0.433

Summary:
- Magnetic moment: 0.0 Bohr magnetons per cell
- Formation energy (no corrections): -307 meV/atom
- Calculated density: 11723 kg/m³

***

Material: Sc2SiF
Method: DFT, PBE
State: optimized geometry

abc: 5.345 5.345 6.909
angles: 67.24 67.24 90.00
Sites, in units of the cell vectors:
Sc 0.875 0.816 0.750
Sc 0.566 0.125 0.250
Sc 0.375 0.434 0.750
Sc 0.184 0.625 0.250
Si 0.750 0.250 0.500
Si 0.000 0.000 0.000
F 0.250 0.750 0.500
F 0.500 0.500 0.000

Summary:
- Magnetic moment: 0.0 Bohr magnetons per cell
- Formation energy (no corrections): -1163 meV/atom
- Calculated density: 2753 kg/m³
- Excess energy over the best structure of this formula in the dataset: 1.58 eV/f.u.

***

Material: CoNi2Ag
Method: DFT, PBE
State: optimized geometry

abc: 4.167 4.167 4.167
angles: 60.00 60.00 60.00
Sites, in units of the cell vectors:
Ag 0.500 0.500 0.500
Co 0.750 0.750 0.750
Ni 0.250 0.250 0.250
Ni 0.000 0.000 0.000

Summary:
- Magnetic moment: 2.8 Bohr magnetons per cell
- Calculated density: 9222 kg/m³
- DFT formation energy: 375 meV/atom
- Excess energy over the best structure of this formula in the dataset: 0.85 eV/f.u.

***

Material: CoHgAs2
Method: DFT, PBE
State: optimized geometry

abc: 4.274 4.274 3.894
angles: 90.00 90.00 90.00
Sites, in units of the cell vectors:
As 0.000 0.000 0.000
As 0.500 0.500 0.000
Hg 0.000 0.500 0.500
Co 0.500 0.000 0.500

Summary:
- Magnetic moment: 1.0 Bohr magnetons per cell
- Calculated density: 9559 kg/m³
- DFT formation energy: 558 meV/atom

***

Material: TlNiI2Br
Method: DFT, PBE
State: optimized geometry

abc: 5.462 5.462 5.034
angles: 90.00 90.00 90.00
Sites, in units of the cell vectors:
Br 0.000 0.000 0.500
Tl 0.500 0.500 0.500
I 0.500 0.000 0.000
I 0.000 0.500 0.000
Ni 0.000 0.000 0.000

Summary:
- Magnetic moment: 0.0 Bohr magnetons per cell
- Formation energy (no corrections): -285 meV/atom
- Calculated density: 6600 kg/m³
- Excess energy over the best structure of this formula in the dataset: 0.00 eV/f.u.

***

Material: GaSb3I
Method: DFT, PBE
State: optimized geometry

abc: 5.834 5.834 5.834
angles: 90.00 90.00 90.00
Sites, in units of the cell vectors:
I 0.000 0.000 0.000
Sb 0.000 0.000 0.500
Sb 0.000 0.500 0.000
Sb 0.500 0.000 0.000
Ga 0.500 0.500 0.500

Summary:
- Magnetic moment: 0.0 Bohr magnetons per cell
- Formation energy (no corrections): 1053 meV/atom
- Calculated density: 4698 kg/m³
- Excess energy over the best structure of this formula in the dataset: 2.57 eV/f.u.

***

Material: La5PrGe4
Method: DFT, PBE
State: optimized geometry

abc: 5.289 7.170 11.027
angles: 130.09 103.88 90.00
Sites, in units of the cell vectors:
La 0.164 0.835 0.328
La 0.834 0.681 0.669
La 0.166 0.319 0.331
La 0.836 0.165 0.672
La 0.500 0.500 0.000
Ge 0.677 0.104 0.354
Ge 0.323 0.896 0.646
Ge 0.990 0.735 0.981
Ge 0.010 0.265 0.019
Pr 0.500 0.000 0.000

Summary:
- Magnetic moment: 0.0 Bohr magnetons per cell
- Calculated density: 6155 kg/m³
- DFT formation energy: -653 meV/atom

***

Material: K5Pt2O6
Method: DFT, PBE
State: optimized geometry

abc: 3.927 9.099 15.190
angles: 90.00 90.00 90.00
Sites, in units of the cell vectors:
O 0.000 0.828 0.571
O 0.500 0.142 0.850
O 0.000 0.074 0.158
O 0.000 0.574 0.342
O 0.000 0.426 0.658
O 0.000 0.172 0.429
O 0.000 0.328 0.929
O 0.500 0.358 0.350
O 0.000 0.926 0.842
O 0.500 0.642 0.650
O 0.500 0.858 0.150
O 0.000 0.672 0.071
Pt 0.000 0.632 0.624
Pt 0.000 0.368 0.376
Pt 0.000 0.868 0.124
Pt 0.000 0.132 0.876
K 0.500 0.091 0.277
K 0.500 0.409 0.777
K 0.500 0.843 0.947
K 0.500 0.909 0.723
K 0.500 0.157 0.053
K 0.500 0.500 0.000
K 0.500 0.657 0.447
K 0.500 0.343 0.553
K 0.500 0.000 0.500
K 0.500 0.591 0.223

Summary:
- Magnetic moment: 6.0 Bohr magnetons per cell
- Formation energy (no corrections): -964 meV/atom
- Calculated density: 4172 kg/m³

***

Material: Sm5Dy2Mg
Method: DFT, PBE
State: optimized geometry

abc: 3.617 9.786 8.737
angles: 124.06 90.02 90.00
Sites, in units of the cell vectors:
Sm 0.500 0.885 0.251
Sm 0.500 0.634 0.749
Sm 0.500 0.366 0.251
Sm 0.500 0.115 0.749
Sm 0.000 0.500 0.000
Dy 0.000 0.742 0.485
Dy 0.000 0.258 0.515
Mg 0.000 0.000 0.000

Summary:
- Magnetic moment: 0.0 Bohr magnetons per cell
- Calculated density: 7137 kg/m³
- DFT formation energy: 11 meV/atom
- Excess energy over the best structure of this formula in the dataset: 0.00 eV/f.u.

***

Material: SmPaGa2
Method: DFT, PBE
State: optimized geometry

abc: 3.301 3.301 8.332
angles: 90.00 90.00 90.00
Sites, in units of the cell vectors:
Pa 0.500 0.500 0.000
Ga 0.000 0.000 0.755
Ga 0.000 0.000 0.245
Sm 0.500 0.500 0.500

Summary:
- Magnetic moment: 0.0 Bohr magnetons per cell
- Calculated density: 9524 kg/m³
- DFT formation energy: -374 meV/atom
- Excess energy over the best structure of this formula in the dataset: 0.00 eV/f.u.

***

Material: Nd6Ir2PdCl3
Method: DFT, PBE
State: optimized geometry

abc: 7.195 7.195 7.913
angles: 98.68 98.68 120.03
Sites, in units of the cell vectors:
Nd 0.276 0.276 0.795
Nd 0.932 0.588 0.794
Nd 0.068 0.412 0.206
Nd 0.412 0.068 0.206
Nd 0.724 0.724 0.205
Nd 0.588 0.932 0.794
Pd 0.000 0.000 0.000
Ir 0.666 0.334 0.000
Ir 0.334 0.666 0.000
Cl 0.829 0.171 0.500
Cl 0.500 0.500 0.500
Cl 0.171 0.829 0.500

Summary:
- Magnetic moment: 0.0 Bohr magnetons per cell
- Formation energy (no corrections): -1180 meV/atom
- Calculated density: 7184 kg/m³

***

Material: CaIr2Cl
Method: DFT, PBE
State: optimized geometry

abc: 3.011 5.166 4.985
angles: 90.00 90.00 90.00
Sites, in units of the cell vectors:
Ir 0.000 0.000 0.497
Ir 0.000 0.000 0.003
Cl 0.500 0.500 0.750
Ca 0.500 0.500 0.250

Summary:
- Magnetic moment: 0.0 Bohr magnetons per cell
- Formation energy (no corrections): 239 meV/atom
- Calculated density: 9848 kg/m³
- Excess energy over the best structure of this formula in the dataset: 2.49 eV/f.u.

***

Material: Sc2NiBr
Method: DFT, PBE
State: optimized geometry

abc: 5.461 5.461 4.382
angles: 82.85 82.85 35.42
Sites, in units of the cell vectors:
Ni 0.730 0.730 0.907
Br 0.533 0.533 0.332
Sc 0.976 0.976 0.848
Sc 0.261 0.261 0.412

Summary:
- Magnetic moment: 0.0 Bohr magnetons per cell
- Formation energy (no corrections): -437 meV/atom
- Calculated density: 5052 kg/m³
- Excess energy over the best structure of this formula in the dataset: 1.08 eV/f.u.

***

Material: Zr6Tl3Cu
Method: DFT, PBE
State: optimized geometry

abc: 7.770 6.107 6.107
angles: 56.43 75.93 75.93
Sites, in units of the cell vectors:
Zr 0.917 0.369 0.369
Zr 0.083 0.631 0.631
Zr 0.322 0.606 0.115
Zr 0.678 0.394 0.885
Zr 0.678 0.885 0.394
Zr 0.322 0.115 0.606
Cu 0.500 0.500 0.500
Tl 0.000 0.000 0.000
Tl 0.696 0.875 0.875
Tl 0.304 0.125 0.125

Summary:
- Magnetic moment: 0.0 Bohr magnetons per cell
- Calculated density: 8758 kg/m³
- DFT formation energy: 167 meV/atom

***

Material: SrMnSn
Method: DFT, PBE
State: optimized geometry

abc: 4.707 4.716 8.924
angles: 90.00 121.81 90.00
Sites, in units of the cell vectors:
Mn 0.753 0.748 0.501
Mn 0.255 0.248 0.502
Sn 0.454 0.748 0.702
Sn 0.554 0.248 0.301
Sr 0.930 0.748 0.178
Sr 0.078 0.248 0.826

Summary:
- Magnetic moment: 8.3 Bohr magnetons per cell
- Calculated density: 5154 kg/m³
- DFT formation energy: -231 meV/atom

***

Material: NdDyMgBi
Method: DFT, PBE
State: optimized geometry

abc: 5.485 5.485 5.485
angles: 60.00 60.00 60.00
Sites, in units of the cell vectors:
Mg 0.750 0.750 0.750
Nd 0.000 0.000 0.000
Dy 0.500 0.500 0.500
Bi 0.250 0.250 0.250

Summary:
- Magnetic moment: 0.0 Bohr magnetons per cell
- Calculated density: 7687 kg/m³
- DFT formation energy: -328 meV/atom

***

Material: NiPbBr
Method: DFT, PBE
State: optimized geometry

abc: 4.956 4.956 4.956
angles: 60.00 60.00 60.00
Sites, in units of the cell vectors:
Br 0.000 0.000 0.000
Pb 0.250 0.250 0.250
Ni 0.500 0.500 0.500

Summary:
- Magnetic moment: 0.5 Bohr magnetons per cell
- Formation energy (no corrections): 586 meV/atom
- Calculated density: 6670 kg/m³
- Excess energy over the best structure of this formula in the dataset: 1.91 eV/f.u.

***

Material: ErTlGa2Br6
Method: DFT, PBE
State: optimized geometry

abc: 7.814 7.817 8.317
angles: 61.93 61.92 59.90
Sites, in units of the cell vectors:
Br 0.700 0.139 0.769
Br 0.139 0.393 0.768
Br 0.393 0.699 0.768
Br 0.236 0.965 0.235
Br 0.964 0.566 0.234
Br 0.565 0.236 0.235
Tl 0.814 0.815 0.556
Ga 0.517 0.516 0.450
Ga 0.008 0.008 0.976
Er 0.325 0.325 0.024

Summary:
- Magnetic moment: 0.0 Bohr magnetons per cell
- Formation energy (no corrections): -1137 meV/atom
- Calculated density: 4457 kg/m³

***

Material: Na2Cd9Sn
Method: DFT, PBE
State: optimized geometry

abc: 5.951 5.951 10.370
angles: 73.33 73.33 60.00
Sites, in units of the cell vectors:
Cd 0.588 0.588 0.744
Cd 0.666 0.666 0.003
Cd 0.920 0.412 0.256
Cd 0.080 0.588 0.744
Cd 0.412 0.920 0.256
Cd 0.588 0.080 0.744
Cd 0.334 0.334 0.997
Cd 0.412 0.412 0.256
Cd 0.500 0.500 0.500
Na 0.856 0.856 0.431
Na 0.144 0.144 0.569
Sn 0.000 0.000 0.000

Summary:
- Magnetic moment: 0.0 Bohr magnetons per cell
- Calculated density: 6511 kg/m³
- DFT formation energy: -15 meV/atom

***

Material: YVTeI2
Method: DFT, PBE
State: optimized geometry

abc: 5.920 5.920 5.997
angles: 90.00 90.00 90.00
Sites, in units of the cell vectors:
V 0.500 0.500 0.500
I 0.000 0.500 0.000
I 0.500 0.000 0.000
Te 0.000 0.000 0.500
Y 0.000 0.000 0.000

Summary:
- Magnetic moment: 4.0 Bohr magnetons per cell
- Formation energy (no corrections): -33 meV/atom
- Calculated density: 4118 kg/m³
- Excess energy over the best structure of this formula in the dataset: 0.51 eV/f.u.

***

V for the records above, in order: 356.07, 165.25, 51.17, 71.11, 150.15, 198.60, 303.78, 542.68, 256.19, 90.81, 338.11, 77.56, 75.10, 232.08, 168.34, 116.65, 86.09, 369.03, 300.03, 210.19 Å³ per cell